## A
Computed, not measured: an optimized crystal structure of TaNb2Ru2 at the PBE level of DFT.

Properties
The value obtained for the total magnetic moment is 0.00 Bohr magnetons per cell.

Cell: 7.571 7.571 2.971 Å, 90.00 90.00 90.00°
Fractional coordinates of all 10 atoms:
Ta  0.000  0.000  0.000
Ta  0.500  0.500  0.000
Nb  0.150  0.350  0.000
Nb  0.350  0.850  0.000
Nb  0.650  0.150  0.000
Nb  0.850  0.650  0.000
Ru  0.151  0.651  0.500
Ru  0.349  0.151  0.500
Ru  0.651  0.849  0.500
Ru  0.849  0.349  0.500

=====

## B
Computed, not measured: an optimized crystal structure of TaNb2Ru2 at the PBE level of DFT.

Properties
The value obtained for the total magnetic moment is 0.00 Bohr magnetons per cell.

Cell: 7.441 7.441 3.069 Å, 90.00 90.00 90.00°
Fractional coordinates of all 10 atoms:
Ta  0.000  0.000  0.000
Ta  0.500  0.500  0.000
Nb  0.167  0.333  0.500
Nb  0.333  0.833  0.500
Nb  0.667  0.167  0.500
Nb  0.833  0.667  0.500
Ru  0.135  0.635  0.000
Ru  0.365  0.135  0.000
Ru  0.635  0.865  0.000
Ru  0.865  0.365  0.000

=====

Of them, A has the lowest stability.

=====

## A
Computed, not measured: an optimized crystal structure of Nb6TcRu at the PBE level of DFT.

Properties
The value obtained for the total magnetic moment is 0.00 Bohr magnetons per cell.

Cell: 7.322 7.322 7.322 Å, 143.62 143.62 52.40°
Fractional coordinates of all 8 atoms:
Nb  0.121  0.621  0.500
Nb  0.250  0.250  0.000
Nb  0.379  0.879  0.500
Nb  0.621  0.121  0.500
Nb  0.750  0.750  0.000
Nb  0.879  0.379  0.500
Tc  0.000  0.000  0.000
Ru  0.500  0.500  0.000

=====

## B
Computed, not measured: an optimized crystal structure of Nb6TcRu at the PBE level of DFT.

Properties
The value obtained for the total magnetic moment is 0.00 Bohr magnetons per cell.

Cell: 5.180 5.180 5.180 Å, 89.94 89.94 89.94°
Fractional coordinates of all 8 atoms:
Nb  0.000  0.250  0.500
Nb  0.000  0.750  0.500
Nb  0.250  0.500  0.000
Nb  0.500  0.000  0.250
Nb  0.500  0.000  0.750
Nb  0.750  0.500  0.000
Tc  0.500  0.500  0.500
Ru  0.000  0.000  0.000

=====

Of them, B has the lowest stability.

=====

## A
Computed, not measured: an optimized crystal structure of NbTc2Ru at the PBE level of DFT.

Properties
The value obtained for the total magnetic moment is 1.69 Bohr magnetons per cell.

Cell: 4.438 4.438 4.438 Å, 60.00 60.00 60.00°
Fractional coordinates of all 4 atoms:
Nb  0.000  0.000  0.000
Tc  0.250  0.250  0.250
Tc  0.750  0.750  0.750
Ru  0.500  0.500  0.500

=====

## B
Computed, not measured: an optimized crystal structure of NbTc2Ru at the PBE level of DFT.

Properties
The value obtained for the total magnetic moment is 0.00 Bohr magnetons per cell.

Cell: 5.692 5.692 5.692 Å, 101.77 101.77 126.31°
Fractional coordinates of all 8 atoms:
Nb  0.000  0.000  0.000
Nb  0.750  0.250  0.500
Tc  0.140  0.125  0.515
Tc  0.375  0.860  0.985
Tc  0.610  0.625  0.485
Tc  0.875  0.390  0.015
Ru  0.250  0.750  0.500
Ru  0.500  0.500  0.000

=====

Of them, B has the lowest stability.

=====

## A
Computed, not measured: an optimized crystal structure of Nb6TcRu3 at the PBE level of DFT.

Properties
The value obtained for the total magnetic moment is 0.00 Bohr magnetons per cell.

Cell: 5.284 5.284 7.304 Å, 105.71 105.71 61.42°
Fractional coordinates of all 10 atoms:
Nb  0.089  0.587  0.198
Nb  0.150  0.150  0.419
Nb  0.413  0.911  0.802
Nb  0.587  0.089  0.198
Nb  0.850  0.850  0.581
Nb  0.911  0.413  0.802
Tc  0.500  0.500  0.500
Ru  0.000  0.000  0.000
Ru  0.408  0.408  0.825
Ru  0.592  0.592  0.175

=====

## B
Computed, not measured: an optimized crystal structure of Nb6TcRu3 at the PBE level of DFT.

Properties
The value obtained for the total magnetic moment is 0.00 Bohr magnetons per cell.

Cell: 7.842 4.532 9.632 Å, 90.00 105.86 90.00°
Fractional coordinates of all 20 atoms:
Nb  0.050  0.250  0.398
Nb  0.147  0.750  0.197
Nb  0.152  0.250  0.699
Nb  0.246  0.250  0.998
Nb  0.349  0.750  0.801
Nb  0.450  0.250  0.601
Nb  0.550  0.750  0.399
Nb  0.651  0.250  0.199
Nb  0.754  0.750  0.002
Nb  0.848  0.750  0.301
Nb  0.853  0.250  0.803
Nb  0.950  0.750  0.602
Tc  0.048  0.750  0.900
Tc  0.952  0.250  0.100
Ru  0.257  0.750  0.498
Ru  0.353  0.250  0.299
Ru  0.448  0.750  0.101
Ru  0.552  0.250  0.899
Ru  0.647  0.750  0.701
Ru  0.743  0.250  0.502

=====

Of them, A has the lowest stability.

=====

## A
Computed, not measured: an optimized crystal structure of NbTe3Ru at the PBE level of DFT.

Properties
The value obtained for the total magnetic moment is 0.00 Bohr magnetons per cell.

Cell: 7.661 3.412 10.089 Å, 90.00 105.95 90.00°
Fractional coordinates of all 10 atoms:
Nb  0.027  0.250  0.126
Nb  0.973  0.750  0.874
Te  0.116  0.250  0.705
Te  0.305  0.750  0.083
Te  0.329  0.250  0.393
Te  0.671  0.750  0.607
Te  0.695  0.250  0.917
Te  0.884  0.750  0.295
Ru  0.444  0.250  0.661
Ru  0.556  0.750  0.339

=====

## B
Computed, not measured: an optimized crystal structure of NbTe3Ru at the PBE level of DFT.

Properties
The value obtained for the total magnetic moment is 0.00 Bohr magnetons per cell.

Cell: 5.099 5.099 5.099 Å, 90.00 90.00 90.00°
Fractional coordinates of all 5 atoms:
Nb  0.000  0.000  0.000
Te  0.000  0.500  0.500
Te  0.500  0.000  0.500
Te  0.500  0.500  0.000
Ru  0.500  0.500  0.500

=====

Of them, B has the lowest stability.

=====

## A
Computed, not measured: an optimized crystal structure of Nb2Te2Ru at the PBE level of DFT.

Properties
The value obtained for the total magnetic moment is 1.16 Bohr magnetons per cell.

Cell: 7.264 7.264 7.264 Å, 147.26 147.26 46.98°
Fractional coordinates of all 5 atoms:
Nb  0.093  0.093  0.000
Nb  0.907  0.907  0.000
Te  0.250  0.750  0.500
Te  0.750  0.250  0.500
Ru  0.500  0.500  0.000

=====

## B
Computed, not measured: an optimized crystal structure of Nb2Te2Ru at the PBE level of DFT.

Properties
The value obtained for the total magnetic moment is 0.00 Bohr magnetons per cell.

Cell: 7.388 7.388 3.705 Å, 90.00 90.00 90.00°
Fractional coordinates of all 10 atoms:
Nb  0.143  0.357  0.000
Nb  0.357  0.857  0.000
Nb  0.643  0.143  0.000
Nb  0.857  0.643  0.000
Te  0.156  0.656  0.500
Te  0.344  0.156  0.500
Te  0.656  0.844  0.500
Te  0.844  0.344  0.500
Ru  0.000  0.000  0.000
Ru  0.500  0.500  0.000

=====

Of them, A has the lowest stability.

=====

## A
Computed, not measured: an optimized crystal structure of TiNb2Ru2 at the PBE level of DFT.

Properties
The value obtained for the total magnetic moment is 2.70 Bohr magnetons per cell.

Cell: 7.570 7.570 2.970 Å, 90.00 90.00 90.00°
Fractional coordinates of all 10 atoms:
Ti  0.000  0.000  0.000
Ti  0.500  0.500  0.000
Nb  0.151  0.349  0.000
Nb  0.349  0.849  0.000
Nb  0.651  0.151  0.000
Nb  0.849  0.651  0.000
Ru  0.149  0.649  0.500
Ru  0.351  0.149  0.500
Ru  0.649  0.851  0.500
Ru  0.851  0.351  0.500

=====

## B
Computed, not measured: an optimized crystal structure of TiNb2Ru2 at the PBE level of DFT.

Properties
The value obtained for the total magnetic moment is 0.00 Bohr magnetons per cell.

Cell: 7.370 7.370 3.116 Å, 90.00 90.00 90.00°
Fractional coordinates of all 10 atoms:
Ti  0.000  0.000  0.000
Ti  0.500  0.500  0.000
Nb  0.168  0.332  0.500
Nb  0.332  0.832  0.500
Nb  0.668  0.168  0.500
Nb  0.832  0.668  0.500
Ru  0.135  0.635  0.000
Ru  0.365  0.135  0.000
Ru  0.635  0.865  0.000
Ru  0.865  0.365  0.000

=====

Of them, A has the lowest stability.

=====

## A
Computed, not measured: an optimized crystal structure of TiNbRu at the PBE level of DFT.

Properties
The value obtained for the total magnetic moment is 0.00 Bohr magnetons per cell.

Cell: 7.026 7.026 4.434 Å, 90.00 90.00 154.13°
Fractional coordinates of all 6 atoms:
Ti  0.077  0.923  0.750
Ti  0.923  0.077  0.250
Nb  0.246  0.754  0.250
Nb  0.754  0.246  0.750
Ru  0.419  0.581  0.750
Ru  0.581  0.419  0.250

=====

## B
Computed, not measured: an optimized crystal structure of TiNbRu at the PBE level of DFT.

Properties
The value obtained for the total magnetic moment is 0.00 Bohr magnetons per cell.

Cell: 6.922 6.922 4.588 Å, 90.00 90.00 153.97°
Fractional coordinates of all 6 atoms:
Ti  0.243  0.757  0.750
Ti  0.757  0.243  0.250
Nb  0.083  0.917  0.250
Nb  0.917  0.083  0.750
Ru  0.416  0.584  0.250
Ru  0.584  0.416  0.750

=====

## C
Computed, not measured: an optimized crystal structure of TiNbRu at the PBE level of DFT.

Properties
The value obtained for the total magnetic moment is 0.00 Bohr magnetons per cell.

Cell: 5.401 5.401 5.401 Å, 146.43 146.43 48.21°
Fractional coordinates of all 3 atoms:
Ti  0.000  0.000  0.000
Nb  0.321  0.321  0.000
Ru  0.656  0.656  0.000

=====

Of them, B has the lowest stability.